## PmEr6Th2 (PBE-GGA)

Data for a relaxed PmEr6Th2 crystal.

The energy above the most stable polymorph in this dataset comes out at 0.063 eV/atom. Its density of states at the Fermi level is 49.15 states/eV/cell.

The structure belongs to space group C2/c (No. 15); the cell edges are 12.6663, 14.1943 and 6.5692 Å and the angles 90.00°, 101.72° and 90.00°. Symmetry generates all atoms from Pm at (0.0000, 0.1154, 0.2500), Er at (0.0353, 0.3091, 0.0047), Er at (0.1382, 0.0865, 0.8177), Er at (0.2405, 0.3016, 0.7291) and Th at (0.1342, 0.4748, 0.3782).

## PmEr7Th2 (PBE-GGA)

Data for a relaxed PmEr7Th2 crystal.

Its density of states at the Fermi level is 27.37 states/eV/cell.

The structure belongs to space group Cmmm (No. 65); the cell edges are 8.6469, 16.6390 and 5.4784 Å and the angles 90.00°, 90.00° and 90.00°. Symmetry generates all atoms from Pm at (0.0000, 0.0000, 0.0000), Er at (0.0000, 0.2068, 0.0000), Er at (0.0000, 0.5000, 0.5000), Er at (0.1759, 0.1107, 0.5000) and Th at (0.0000, 0.2952, 0.5000).

Number 1: energy of formation from the pure elements 1.3 eV per formula unit. Number 2: energy of formation from the pure elements 7.8 eV per formula unit.